# 1
Computed, not measured: an optimized crystal structure of Cr2GaBi at the GGA-PBE level of DFT.

Structure (POSCAR):
```
Cr2GaBi
1.0
0.000 3.228 3.228
3.228 0.000 3.228
3.228 3.228 0.000
Cr Ga Bi
2 1 1
Cartesian
1.614 1.614 1.614
4.843 4.843 4.843
0.000 0.000 0.000
3.228 3.228 3.228
```

## Properties
crystal system: cubic
total magnetization: 4.26 μB per cell
energy relative to the lowest polymorph listed for this composition: 0 meV per atom
DFT total energy: -23.835 eV/cell
calculated formation energy: 0.580 eV/atom

---

# 2
Computed, not measured: an optimized crystal structure of Cr3GaBi at the GGA-PBE level of DFT.

Structure (POSCAR):
```
Cr3GaBi
1.0
5.298 0.000 0.000
0.000 5.298 0.000
0.000 0.000 5.298
Cr Ga Bi
3 1 1
Cartesian
0.000 0.000 2.649
0.000 2.649 0.000
2.649 0.000 0.000
2.649 2.649 2.649
0.000 0.000 0.000
```

## Properties
crystal system: cubic
total magnetization: 13.32 μB per cell
energy relative to the lowest polymorph listed for this composition: 537 meV per atom
DFT total energy: -28.849 eV/cell
calculated formation energy: 1.386 eV/atom

---

# 3
Computed, not measured: an optimized crystal structure of CrGaBi3 at the GGA-PBE level of DFT.

Structure (POSCAR):
```
CrGaBi3
1.0
5.298 0.000 0.000
0.000 5.298 0.000
0.000 0.000 5.298
Cr Ga Bi
1 1 3
Cartesian
0.000 0.000 0.000
2.649 2.649 2.649
0.000 0.000 2.649
0.000 2.649 0.000
2.649 0.000 0.000
```

## Properties
crystal system: cubic
total magnetization: 1.99 μB per cell
energy relative to the lowest polymorph listed for this composition: 0 meV per atom
DFT total energy: -21.823 eV/cell
calculated formation energy: 0.494 eV/atom

---

# 4
Computed, not measured: an optimized crystal structure of Cr2GaBi at the GGA-PBE level of DFT.

Structure (POSCAR):
```
Cr2GaBi
1.0
-2.021 2.021 9.030
2.021 -2.021 9.030
2.021 2.021 -9.030
Cr Ga Bi
4 2 2
Cartesian
3.032 0.591 -2.258
0.591 1.011 2.258
-1.011 1.431 6.773
1.431 1.011 11.288
0.000 0.000 0.000
0.000 2.021 4.515
2.021 0.000 4.515
0.000 0.000 9.030
```

## Properties
crystal system: tetragonal
total magnetization: 0.79 μB per cell
energy relative to the lowest polymorph listed for this composition: 170 meV per atom
DFT total energy: -46.308 eV/cell
calculated formation energy: 0.750 eV/atom

---

# 5
Computed, not measured: an optimized crystal structure of CrGaBi3 at the GGA-PBE level of DFT.

Structure (POSCAR):
```
CrGaBi3
1.0
5.396 0.000 0.000
0.000 5.396 0.000
0.000 0.000 5.396
Cr Ga Bi
1 1 3
Cartesian
0.000 0.000 0.000
2.698 2.698 2.698
0.000 2.698 2.698
2.698 0.000 2.698
2.698 2.698 0.000
```

## Properties
crystal system: cubic
total magnetization: 0.65 μB per cell
energy relative to the lowest polymorph listed for this composition: 856 meV per atom
DFT total energy: -17.542 eV/cell
calculated formation energy: 1.350 eV/atom

---

# 6
Computed, not measured: an optimized crystal structure of CrGaBi2 at the GGA-PBE level of DFT.

Structure (POSCAR):
```
CrGaBi2
1.0
-3.211 3.211 6.370
3.211 -3.211 6.370
3.211 3.211 -6.370
Cr Ga Bi
2 2 4
Cartesian
0.000 0.000 0.000
0.000 3.211 3.185
3.211 0.000 3.185
0.000 0.000 6.370
4.817 1.546 -1.592
1.546 1.606 1.592
-1.606 1.666 4.777
1.666 1.606 7.962
```

## Properties
crystal system: tetragonal
total magnetization: 6.00 μB per cell
DFT total energy: -37.149 eV/cell
calculated formation energy: 0.459 eV/atom

---

# 7
Computed, not measured: an optimized crystal structure of CrGa2BiH at the GGA-PBE level of DFT.

Structure (POSCAR):
```
CrGa2BiH
1.0
4.283 0.000 0.000
0.000 4.283 0.000
0.000 0.000 4.876
Cr Ga Bi H
1 2 1 1
Cartesian
0.000 0.000 0.000
0.000 2.142 2.438
2.142 0.000 2.438
2.142 2.142 0.000
2.142 2.142 2.438
```

## Properties
crystal system: tetragonal
total magnetization: 3.87 μB per cell
DFT total energy: -20.696 eV/cell

---

# 8
Computed, not measured: an optimized crystal structure of CrGaBi2Ir at the GGA-PBE level of DFT.

Structure (POSCAR):
```
CrGaBi2Ir
1.0
5.408 0.000 0.000
0.000 5.408 0.000
0.000 0.000 4.669
Cr Ga Bi Ir
1 1 2 1
Cartesian
0.000 0.000 0.000
2.704 2.704 0.000
0.000 2.704 2.335
2.704 0.000 2.335
2.704 2.704 2.335
```

## Properties
crystal system: tetragonal
total magnetization: 0.14 μB per cell
DFT total energy: -23.855 eV/cell
calculated formation energy: 1.084 eV/atom